1.
{"formula": "Rb2NaHgP2", "functional": "PBE", "state": "relaxed", "lattice": [[-3.373, 7.810, 3.418], [3.373, -7.810, 3.418], [3.373, 7.810, -3.418]], "species": ["Rb", "Rb", "Rb", "Rb", "Na", "Na", "Hg", "Hg", "P", "P", "P", "P"], "fractional_positions": [[0.173, 0.244, 0.416], [0.327, 0.744, 0.071], [0.673, 0.256, 0.929], [0.827, 0.756, 0.584], [0.250, 0.250, 0.000], [0.750, 0.750, 0.000], [0.250, 0.750, 0.500], [0.750, 0.250, 0.500], [0.094, 0.720, 0.815], [0.406, 0.220, 0.626], [0.594, 0.780, 0.374], [0.906, 0.280, 0.185]], "formation_energy_kj_per_mol_atoms": -17.14, "dft_energy_ev_per_atom": -2.57, "mass_density_g_cm3": 4.21}


2.
{"formula": "NaHg2PS4", "functional": "PBE", "state": "relaxed", "lattice": [[7.200, 0.000, 0.000], [0.000, 9.122, 0.000], [0.000, 0.000, 6.211]], "species": ["Na", "Na", "Hg", "Hg", "Hg", "Hg", "P", "P", "S", "S", "S", "S", "S", "S", "S", "S"], "fractional_positions": [[0.000, 0.066, 0.000], [0.500, 0.934, 0.500], [0.184, 0.364, 0.506], [0.316, 0.636, 0.006], [0.684, 0.636, 0.006], [0.816, 0.364, 0.506], [0.000, 0.778, 0.440], [0.500, 0.222, 0.940], [0.000, 0.754, 0.094], [0.000, 0.994, 0.500], [0.242, 0.679, 0.539], [0.258, 0.321, 0.039], [0.500, 0.006, 0.000], [0.500, 0.246, 0.594], [0.742, 0.321, 0.039], [0.758, 0.679, 0.539]], "dft_energy_ev_per_atom": -3.37, "mass_density_g_cm3": 4.75, "raw_formation_energy_ev_per_atom": -0.392}


3.
{"formula": "NaHg2PSe4", "functional": "PBE", "state": "relaxed", "lattice": [[-3.464, 3.785, 4.442], [3.464, -3.785, 4.442], [3.464, 3.785, -4.442]], "species": ["Na", "Hg", "Hg", "P", "Se", "Se", "Se", "Se"], "fractional_positions": [[0.000, 0.000, 0.000], [0.283, 0.500, 0.783], [0.717, 0.500, 0.217], [0.500, 0.000, 0.500], [0.137, 0.636, 0.097], [0.462, 0.364, 0.502], [0.538, 0.040, 0.903], [0.863, 0.960, 0.498]], "dft_energy_ev_per_atom": -2.84, "mass_density_g_cm3": 5.50, "raw_formation_energy_ev_per_atom": -0.180}


4.
{"formula": "Na2HgPSe4", "functional": "PBE", "state": "relaxed", "lattice": [[6.384, 0.000, 0.000], [0.311, 6.674, 0.000], [2.996, 2.772, 5.732]], "species": ["Na", "Na", "Hg", "P", "Se", "Se", "Se", "Se"], "fractional_positions": [[0.000, 0.000, 0.000], [0.277, 0.779, 0.493], [0.506, 0.534, 0.946], [0.789, 0.291, 0.470], [0.119, 0.206, 0.241], [0.466, 0.950, 0.724], [0.679, 0.585, 0.245], [0.891, 0.393, 0.694]], "dft_energy_ev_per_atom": -3.21, "mass_density_g_cm3": 4.03, "raw_formation_energy_ev_per_atom": -0.425}


5.
{"formula": "NaSi2HgP", "functional": "PBE", "state": "relaxed", "lattice": [[4.775, 0.000, 0.000], [0.000, 4.775, 0.000], [0.000, 0.000, 5.175]], "species": ["Na", "Si", "Si", "Hg", "P"], "fractional_positions": [[0.000, 0.000, 0.000], [0.000, 0.500, 0.500], [0.500, 0.000, 0.500], [0.500, 0.500, 0.000], [0.500, 0.500, 0.500]], "dft_energy_ev_per_atom": -3.04, "mass_density_g_cm3": 4.37, "raw_formation_energy_ev_per_atom": 0.540}


6.
{"formula": "NaSnHgP", "functional": "PBE", "state": "relaxed", "lattice": [[3.373, -1.949, 0.000], [3.373, 1.949, 0.000], [-2.237, 0.000, 8.895]], "species": ["Na", "Sn", "Hg", "P"], "fractional_positions": [[0.000, 0.000, 0.000], [0.453, 0.453, 0.362], [0.571, 0.571, 0.713], [0.737, 0.737, 0.211]], "formation_energy_kj_per_mol_atoms": -17.71, "dft_energy_ev_per_atom": -2.94, "mass_density_g_cm3": 5.30}


7.
{"formula": "NaSr2HgP", "functional": "PBE", "state": "relaxed", "lattice": [[5.879, 0.000, 0.000], [0.000, 5.879, 0.000], [0.000, 0.000, 5.371]], "species": ["Na", "Sr", "Sr", "Hg", "P"], "fractional_positions": [[0.000, 0.000, 0.000], [0.000, 0.500, 0.500], [0.500, 0.000, 0.500], [0.500, 0.500, 0.000], [0.000, 0.000, 0.500]], "formation_energy_kj_per_mol_atoms": -47.28, "dft_energy_ev_per_atom": -2.57, "mass_density_g_cm3": 3.84}


8.
{"formula": "Na2SrHgP", "functional": "PBE", "state": "relaxed", "lattice": [[5.410, 0.000, 0.000], [0.000, 5.410, 0.000], [0.000, 0.000, 5.912]], "species": ["Na", "Na", "Sr", "Hg", "P"], "fractional_positions": [[0.000, 0.500, 0.000], [0.500, 0.000, 0.000], [0.000, 0.000, 0.500], [0.500, 0.500, 0.500], [0.000, 0.000, 0.000]], "formation_energy_kj_per_mol_atoms": -35.07, "dft_energy_ev_per_atom": -2.37, "mass_density_g_cm3": 3.50}


- Number 8 is which compound?
  Na2SrHgP